Here is crystalline Li7Mn2Co3O12 at its relaxed geometry from Alexandria via LeMat-Bulk. Energies are from PBE with a Hubbard U.

abc: 14.7290 14.7290 5.1783
angles: 78.71 78.71 11.18
Closest atoms and distances in Å follow each position.
Fractional positions:
Mn: 0.1659 0.1659 0.6709  6 O 1.92-1.98
Mn: 0.8341 0.8341 0.3291  6 O 1.92-1.98
O: 0.2036 0.2036 0.9478  1 Mn 1.98, 2 Co 2.03, 2 Li 2.09
O: 0.1311 0.1311 0.3929  1 Mn 1.92, 2 Co 1.99
O: 0.6278 0.6278 0.8538  2 Mn 1.95, 1 Co 2.15
O: 0.9630 0.9630 0.2475  1 Co 1.86, 3 Li 2.01-2.05
O: 0.2952 0.2952 0.5111  2 Mn 1.96, 3 Li 2.08-2.18
O: 0.4632 0.4632 0.6907  2 Co 1.94, 4 Li 2.00-2.10
O: 0.5368 0.5368 0.3093  2 Co 1.94, 4 Li 2.00-2.10
O: 0.8689 0.8689 0.6071  1 Mn 1.92, 2 Co 1.99
O: 0.7048 0.7048 0.4889  2 Mn 1.96, 3 Li 2.08-2.18
O: 0.3722 0.3722 0.1462  2 Mn 1.95, 1 Co 2.15
O: 0.7964 0.7964 0.0522  1 Mn 1.98, 2 Co 2.03, 2 Li 2.09
O: 0.0370 0.0370 0.7525  1 Co 1.86, 3 Li 2.01-2.05
Li: 0.5000 0.5000 0.0000  6 O 2.08-2.10
Li: 0.5792 0.5792 0.5675  5 O 2.00-2.16
Li: 0.4208 0.4208 0.4325  5 O 2.00-2.16
Li: 0.9271 0.9271 0.9455  5 O 2.05-2.25
Li: 0.7497 0.7497 0.7529  6 O 2.08-2.26
Li: 0.2503 0.2503 0.2471  6 O 2.08-2.26
Li: 0.0729 0.0729 0.0545  5 O 2.05-2.25
Co: 0.3344 0.3344 0.8302  6 O 1.99-2.19
Co: 0.0000 0.0000 0.5000  6 O 1.86-1.94
Co: 0.6656 0.6656 0.1698  6 O 1.99-2.19

For the electronic total energy, the calculation gives -139.895 eV/cell.